# ScBe3Os

ScBe3Os at its PBEsol-relaxed geometry (meta-GGA SCAN, Alexandria via LeMat-Bulk).

```
ScBe3Os
1.0
4.172 0.000 0.000
0.000 4.172 0.000
0.000 0.000 4.172
Sc Be Os
1 3 1
Direct
0.000 0.000 0.000
0.000 0.500 0.500
0.500 0.000 0.500
0.500 0.500 0.000
0.500 0.500 0.500
```

ΔH_f (0 K) in eV/atom: 0.008
SG: Pm-3m (221)
Uncorrected energy in eV/atom: -19.827

---

# HgTePbI2

HgTePbI2 at its PBEsol-relaxed geometry (meta-GGA SCAN, Alexandria via LeMat-Bulk).

```
HgTePbI2
1.0
6.026 0.000 0.000
0.000 6.026 0.000
0.000 0.000 5.838
Hg Te Pb I
1 1 1 2
Direct
0.000 0.000 0.000
0.500 0.500 0.000
0.500 0.500 0.500
0.000 0.500 0.500
0.500 0.000 0.500
```

SG: P4/mmm (123)
Uncorrected energy in eV/atom: -50.827
Formation energy (no corrections) in eV per atom: 0.110